Entry from Alexandria: CaScBe2Sb after structural relaxation (PBE).

```
CaScBe2Sb
1.0
4.861 0.000 0.000
0.000 4.861 0.000
0.000 0.000 5.390
Ca Sc Be Sb
1 1 2 1
direct
0.000 0.000 0.000 Ca
0.000 0.000 0.500 Sc
0.000 0.500 0.000 Be
0.500 0.000 0.000 Be
0.500 0.500 0.500 Sb
```

Properties
As for the symmetry: P4/mmm, No. 123. The total energy comes out at -12.26 eV per cell. The density of states at the Fermi level is 4.15 states/eV/f.u. Its size of the total moment is 1.0 μB/f.u.